[1]
# MnGeH2Ru

A relaxed structure of MnGeH2Ru (PBE, Alexandria).

Calculated values
- ρ: 6.68 g/cm³
- Uncorrected energy: -5.08 eV/atom

Cell and atoms, written as POSCAR:
```
MnGeH2Ru
1.0
-2.695 -1.781 -0.810
2.777 -4.350 0.322
-0.793 -0.268 3.224
H Mn Ge Ru
2 1 1 1
Direct
0.500 0.000 0.000 H
0.000 0.000 0.500 H
0.000 0.500 0.000 Mn
0.000 0.000 0.000 Ge
0.500 0.500 0.500 Ru
```

=====

[2]
# BaAl2Au

A relaxed structure of BaAl2Au (PBE, Alexandria).

Calculated values
- ρ: 5.81 g/cm³
- Uncorrected energy: -3.32 eV/atom

Cell and atoms, written as POSCAR:
```
BaAl2Au
1.0
5.648 -0.065 -0.014
0.683 5.607 0.014
-2.238 -3.830 3.496
Au Al Ba
1 2 1
Direct
0.750 0.250 0.500 Au
0.928 0.928 0.000 Al
0.572 0.572 0.000 Al
0.250 0.750 0.500 Ba
```

=====

[3]
# Na2Zn3F10

A relaxed structure of Na2Zn3F10 (PBE, Alexandria).

Calculated values
- ρ: 3.68 g/cm³
- Uncorrected energy: -3.77 eV/atom
- Raw formation energy: -2.09 eV per atom

Cell and atoms, written as POSCAR:
```
Na2Zn3F10
1.0
5.800 0.000 -1.888
-1.026 7.231 -3.151
-0.104 -0.402 9.534
F Zn Na
20 6 4
Direct
0.976 0.808 0.953 F
0.366 0.071 0.242 F
0.024 0.192 0.047 F
0.124 0.764 0.247 F
0.954 0.502 0.331 F
0.274 0.299 0.547 F
0.000 0.000 0.500 F
0.124 0.928 0.758 F
0.773 0.500 0.000 F
0.500 0.000 0.500 F
0.876 0.072 0.242 F
0.623 0.498 0.669 F
0.726 0.701 0.453 F
0.634 0.929 0.758 F
0.876 0.236 0.753 F
0.515 0.185 0.030 F
0.377 0.502 0.331 F
0.485 0.815 0.970 F
0.227 0.500 0.000 F
0.046 0.498 0.669 F
0.920 0.520 0.840 Zn
0.746 0.000 0.000 Zn
0.813 0.965 0.626 Zn
0.254 0.000 0.000 Zn
0.187 0.035 0.374 Zn
0.080 0.480 0.160 Zn
0.701 0.352 0.402 Na
0.405 0.272 0.810 Na
0.595 0.728 0.190 Na
0.299 0.648 0.598 Na
```

=====

[4]
# InFePb2

A relaxed structure of InFePb2 (PBE, Alexandria).

Calculated values
- ρ: 9.56 g/cm³
- Uncorrected energy: -4.12 eV/atom

Cell and atoms, written as POSCAR:
```
InFePb2
1.0
-0.036 5.194 0.681
-2.157 2.062 4.306
3.041 2.183 3.665
Pb Fe In
2 1 1
Direct
0.250 0.250 0.250 Pb
0.750 0.750 0.750 Pb
0.000 0.000 0.000 Fe
0.500 0.500 0.500 In
```

=====

[5]
# Y4Ho3Pd2

A relaxed structure of Y4Ho3Pd2 (PBE, Alexandria).

Calculated values
- ρ: 6.81 g/cm³
- Uncorrected energy: -5.91 eV/atom

Cell and atoms, written as POSCAR:
```
Y4Ho3Pd2
1.0
3.568 0.000 -0.984
-0.761 8.622 -2.760
0.430 -0.617 8.521
Y Ho Pd
4 3 2
Direct
0.234 0.666 0.467 Y
0.631 0.890 0.262 Y
0.369 0.110 0.738 Y
0.766 0.334 0.533 Y
0.930 0.820 0.860 Ho
0.070 0.180 0.140 Ho
0.000 0.500 0.000 Ho
0.382 0.559 0.764 Pd
0.618 0.441 0.236 Pd
```

=====

[6]
# Li2VPd5

A relaxed structure of Li2VPd5 (PBE, Alexandria).

Calculated values
- ρ: 8.84 g/cm³
- Uncorrected energy: -5.13 eV/atom

Cell and atoms, written as POSCAR:
```
Li2VPd5
1.0
-1.470 -3.132 -5.385
-4.624 -3.159 3.100
-0.521 7.079 -0.171
Li Pd V
4 10 2
Direct
0.859 0.641 0.000 Li
0.641 0.141 0.000 Li
0.141 0.359 0.000 Li
0.359 0.859 0.000 Li
0.000 0.500 0.311 Pd
0.500 0.500 0.000 Pd
0.811 0.000 0.311 Pd
0.000 0.500 0.689 Pd
0.311 0.811 0.311 Pd
0.500 0.689 0.689 Pd
0.189 0.000 0.689 Pd
0.689 0.189 0.689 Pd
0.000 0.000 0.000 Pd
0.500 0.311 0.311 Pd
0.750 0.750 0.500 V
0.250 0.250 0.500 V
```

=====

no.,size of the total moment (μB per formula unit)
1,0.00
2,0.00
3,1.92
4,3.02
5,0.24
6,0.74